First-principles (PBE) data for crystalline La2BeTeRu at its relaxed geometry, as listed in Alexandria via LeMat-Bulk. Values from VASP.

```
&SYSTEM
  ibrav = 0, nat = 5, ntyp = 4
/
ATOMIC_SPECIES
La 138.91 La.upf
Be 9.01 Be.upf
Te 127.60 Te.upf
Ru 101.07 Ru.upf
CELL_PARAMETERS angstrom
5.484 0.000 0.000
0.000 5.484 0.000
0.000 0.000 4.391
ATOMIC_POSITIONS crystal
La 0.000 0.500 0.000
La 0.500 0.000 0.000
Be 0.000 0.000 0.500
Te 0.500 0.500 0.500
Ru 0.000 0.000 0.000
```

M_tot (μB per formula unit): 0.000
Total energy (eV/atom): -5.8088
Formation energy from raw total energies (kJ/mol of formula units): -293.8
Space-group type: P4/mmm
Crystal system: tetragonal

---

First-principles (PBE) data for crystalline SrSiNiN at its relaxed geometry, as listed in Alexandria via LeMat-Bulk. Values from VASP.

```
&SYSTEM
  ibrav = 0, nat = 8, ntyp = 4
/
ATOMIC_SPECIES
Sr 87.62 Sr.upf
Si 28.09 Si.upf
Ni 58.69 Ni.upf
N 14.01 N.upf
CELL_PARAMETERS angstrom
3.804 0.000 0.000
0.000 3.804 0.000
0.000 0.000 8.727
ATOMIC_POSITIONS crystal
Sr 0.250 0.250 0.148
Sr 0.750 0.750 0.852
Si 0.250 0.250 0.653
Si 0.750 0.750 0.347
Ni 0.250 0.750 0.500
Ni 0.750 0.250 0.500
N 0.250 0.250 0.848
N 0.750 0.750 0.152
```

M_tot (μB per formula unit): 0.000
Total energy (eV/atom): -6.1131
Formation energy from raw total energies (kJ/mol of formula units): -312.7
Space-group type: P4/nmm
Crystal system: tetragonal

---

First-principles (PBE) data for crystalline Li5CdPt at its relaxed geometry, as listed in Alexandria via LeMat-Bulk. Values from VASP.

```
&SYSTEM
  ibrav = 0, nat = 14, ntyp = 3
/
ATOMIC_SPECIES
Li 6.94 Li.upf
Cd 112.41 Cd.upf
Pt 195.08 Pt.upf
CELL_PARAMETERS angstrom
3.561 -3.251 0.000
3.561 3.251 0.000
-0.610 0.000 9.991
ATOMIC_POSITIONS crystal
Li 0.067 0.933 0.750
Li 0.133 0.455 0.611
Li 0.180 0.463 0.913
Li 0.455 0.133 0.111
Li 0.463 0.180 0.413
Li 0.537 0.820 0.587
Li 0.545 0.867 0.889
Li 0.820 0.537 0.087
Li 0.867 0.545 0.389
Li 0.933 0.067 0.250
Cd 0.343 0.657 0.250
Cd 0.657 0.343 0.750
Pt 0.000 0.000 0.000
Pt 0.000 0.000 0.500
```

M_tot (μB per formula unit): 0.000
Total energy (eV/atom): -2.6338
Formation energy from the elements (eV/f.u.): -1.91
Energy relative to the lowest polymorph listed for this composition (eV per atom): 0.000
Space-group type: C2/c
Crystal system: monoclinic

---

First-principles (PBE) data for crystalline Al2B2Rh at its relaxed geometry, as listed in Alexandria via LeMat-Bulk. Values from VASP.

```
&SYSTEM
  ibrav = 0, nat = 10, ntyp = 3
/
ATOMIC_SPECIES
Al 26.98 Al.upf
B 10.81 B.upf
Rh 102.91 Rh.upf
CELL_PARAMETERS angstrom
5.664 0.000 0.000
0.000 5.664 0.000
0.000 0.000 3.298
ATOMIC_POSITIONS crystal
Al 0.180 0.320 0.000
Al 0.320 0.820 0.000
Al 0.680 0.180 0.000
Al 0.820 0.680 0.000
B 0.107 0.607 0.500
B 0.393 0.107 0.500
B 0.607 0.893 0.500
B 0.893 0.393 0.500
Rh 0.000 0.000 0.500
Rh 0.500 0.500 0.500
```

M_tot (μB per formula unit): 0.000
Total energy (eV/atom): -5.9744
Formation energy from the elements (eV/f.u.): -1.68
Space-group type: P4/mbm
Crystal system: tetragonal

---

First-principles (PBE) data for crystalline MnNi3Sn at its relaxed geometry, as listed in Alexandria via LeMat-Bulk. Values from VASP.

```
&SYSTEM
  ibrav = 0, nat = 10, ntyp = 3
/
ATOMIC_SPECIES
Mn 54.94 Mn.upf
Ni 58.69 Ni.upf
Sn 118.71 Sn.upf
CELL_PARAMETERS angstrom
4.531 0.000 0.000
0.000 4.372 0.000
-2.263 0.000 6.677
ATOMIC_POSITIONS crystal
Mn 0.165 0.250 0.106
Mn 0.835 0.750 0.894
Ni 0.276 0.750 0.712
Ni 0.346 0.250 0.502
Ni 0.444 0.750 0.089
Ni 0.556 0.250 0.911
Ni 0.654 0.750 0.498
Ni 0.724 0.250 0.288
Sn 0.060 0.750 0.313
Sn 0.940 0.250 0.687
```

M_tot (μB per formula unit): 3.997
Total energy (eV/atom): -6.1893
Formation energy from the elements (eV/f.u.): -0.43
Energy relative to the lowest polymorph listed for this composition (eV per atom): 0.000
Space-group type: P2_1/m
Crystal system: monoclinic

---

First-principles (PBE) data for crystalline Nb2CoCuH at its relaxed geometry, as listed in Alexandria via LeMat-Bulk. Values from VASP.

```
&SYSTEM
  ibrav = 0, nat = 5, ntyp = 4
/
ATOMIC_SPECIES
Nb 92.91 Nb.upf
Co 58.93 Co.upf
Cu 63.55 Cu.upf
H 1.01 H.upf
CELL_PARAMETERS angstrom
4.059 0.000 0.000
0.000 4.059 0.000
0.000 0.000 3.716
ATOMIC_POSITIONS crystal
Nb 0.000 0.500 0.000
Nb 0.500 0.000 0.000
Co 0.000 0.000 0.500
Cu 0.500 0.500 0.500
H 0.000 0.000 0.000
```

M_tot (μB per formula unit): 0.099
Total energy (eV/atom): -6.9719
Energy relative to the lowest polymorph listed for this composition (eV per atom): 0.000
Space-group type: P4/mmm
Crystal system: tetragonal

---

What is the formula in the fifth record?
MnNi3Sn

---

Please write out number 1 again, unchanged.
First-principles (PBE) data for crystalline La2BeTeRu at its relaxed geometry, as listed in Alexandria via LeMat-Bulk. Values from VASP.

```
&SYSTEM
  ibrav = 0, nat = 5, ntyp = 4
/
ATOMIC_SPECIES
La 138.91 La.upf
Be 9.01 Be.upf
Te 127.60 Te.upf
Ru 101.07 Ru.upf
CELL_PARAMETERS angstrom
5.484 0.000 0.000
0.000 5.484 0.000
0.000 0.000 4.391
ATOMIC_POSITIONS crystal
La 0.000 0.500 0.000
La 0.500 0.000 0.000
Be 0.000 0.000 0.500
Te 0.500 0.500 0.500
Ru 0.000 0.000 0.000
```

M_tot (μB per formula unit): 0.000
Total energy (eV/atom): -5.8088
Formation energy from raw total energies (kJ/mol of formula units): -293.8
Space-group type: P4/mmm
Crystal system: tetragonal

---

What is the M_tot in the second record?
0.000 μB per formula unit